1.
Crystalline Nb2FeMoS at its relaxed geometry, computed with PBE.

- energy relative to the elements, uncorrected (meV/atom) = 1400.5
- calculated volume (A^3/atom) = 21.34

Lattice parameters (Å, degrees): 4.8413 4.8413 4.5521 90.00 90.00 90.00
Closest atoms and distances in Å follow each position.
Element x y z (fractional)
Nb (0.0000, 0.5000, 0.0000)  2 Mo 2.42
Nb (0.5000, 0.0000, 0.0000)  2 Mo 2.42
Fe (0.0000, 0.0000, 0.5000)  2 Mo 2.28
Mo (0.0000, 0.0000, 0.0000)  2 Fe 2.28, 4 Nb 2.42
S (0.5000, 0.5000, 0.5000)  8 Nb 3.32, 4 Fe 3.42



2.
Crystalline Dy5Sn2Ir2 at its relaxed geometry, computed with PBE.

- formation energy from the elements (kJ/mol of atoms) = -70
- calculated volume (A^3/atom) = 25.91

Lattice parameters (Å, degrees): 8.7985 8.7985 7.2338 90.00 90.00 56.41
Closest atoms and distances in Å follow each position.
Element x y z (fractional)
Dy (0.0000, 0.0000, 0.0000)  2 Ir 2.85
Dy (0.0585, 0.7010, 0.6545)  3 Ir 2.83-3.16
Dy (0.2010, 0.5585, 0.1545)  3 Ir 2.83-3.16
Dy (0.2990, 0.9415, 0.6545)  3 Ir 2.83-3.16
Dy (0.4415, 0.7990, 0.1545)  3 Ir 2.83-3.16
Dy (0.5000, 0.5000, 0.5000)  2 Ir 2.85
Dy (0.5585, 0.2010, 0.8455)  3 Ir 2.83-3.16
Dy (0.7010, 0.0585, 0.3455)  3 Ir 2.83-3.16
Dy (0.7990, 0.4415, 0.8455)  3 Ir 2.83-3.16
Dy (0.9415, 0.2990, 0.3455)  3 Ir 2.83-3.16
Sn (0.2134, 0.2134, 0.0000)  7 Dy 3.18-3.31
Sn (0.2866, 0.2866, 0.5000)  7 Dy 3.18-3.31
Sn (0.7134, 0.7134, 0.5000)  7 Dy 3.18-3.31
Sn (0.7866, 0.7866, 0.0000)  7 Dy 3.18-3.31
Ir (0.1271, 0.8729, 0.3663)  7 Dy 2.83-3.16, 1 Ir 2.87
Ir (0.3729, 0.6271, 0.8663)  7 Dy 2.83-3.16, 1 Ir 2.87
Ir (0.6271, 0.3729, 0.1337)  7 Dy 2.83-3.16, 1 Ir 2.87
Ir (0.8729, 0.1271, 0.6337)  7 Dy 2.83-3.16, 1 Ir 2.87



3.
Crystalline Na2Ce2Se5 at its relaxed geometry, computed with PBE.

- energy relative to the elements, uncorrected (meV/atom) = -1463.1
- calculated volume (A^3/atom) = 26.03

Lattice parameters (Å, degrees): 8.3753 8.3753 7.9950 90.00 90.00 56.68
Closest atoms and distances in Å follow each position.
Element x y z (fractional)
Na (0.2023, 0.2023, 0.0000)  7 Se 2.98-3.26
Na (0.2977, 0.2977, 0.5000)  7 Se 2.98-3.26
Na (0.7023, 0.7023, 0.5000)  7 Se 2.98-3.26
Na (0.7977, 0.7977, 0.0000)  7 Se 2.98-3.26
Ce (0.1618, 0.8382, 0.6623)  8 Se 2.86-3.09
Ce (0.3382, 0.6618, 0.1623)  8 Se 2.86-3.09
Ce (0.6618, 0.3382, 0.8377)  8 Se 2.86-3.09
Ce (0.8382, 0.1618, 0.3377)  8 Se 2.86-3.09
Se (0.0000, 0.0000, 0.0000)  2 Na 2.98, 4 Ce 2.99
Se (0.0203, 0.7273, 0.3547)  3 Ce 2.86-3.09, 1 Na 3.02
Se (0.2273, 0.5203, 0.8547)  3 Ce 2.86-3.09, 1 Na 3.02
Se (0.2727, 0.9797, 0.3547)  3 Ce 2.86-3.09, 1 Na 3.02
Se (0.4797, 0.7727, 0.8547)  3 Ce 2.86-3.09, 1 Na 3.02
Se (0.5000, 0.5000, 0.5000)  2 Na 2.98, 4 Ce 2.99
Se (0.5203, 0.2273, 0.1453)  3 Ce 2.86-3.09, 1 Na 3.02
Se (0.7273, 0.0203, 0.6453)  3 Ce 2.86-3.09, 1 Na 3.02
Se (0.7727, 0.4797, 0.1453)  3 Ce 2.86-3.09, 1 Na 3.02
Se (0.9797, 0.2727, 0.6453)  3 Ce 2.86-3.09, 1 Na 3.02



What is the calculated volume in the second record?
25.91 A^3/atom



Which of these has the lowest calculated volume?
Nb2FeMoS



What is the formula in the third record?
Na2Ce2Se5



Which of these has the highest calculated volume?
Na2Ce2Se5